A plane-wave DFT calculation with GGA-PBEsol was carried out for an optimized crystal structure of Ca2InW.

Summary:
E_form   14.7 kcal/mol of atoms
Space group   I-4m2 (119)

```
data_Ca2InW
_chemical_formula_sum 'Ca2 In1 W1'
_symmetry_space_group_name_H-M 'P 1'
_symmetry_Int_Tables_number 1
_cell_length_a 4.557
_cell_length_b 4.557
_cell_length_c 5.439
_cell_angle_alpha 114.77
_cell_angle_beta 114.77
_cell_angle_gamma 90.00
loop_
_symmetry_equiv_pos_as_xyz
'x,y,z'
loop_
_atom_site_label
_atom_site_fract_x
_atom_site_fract_y
_atom_site_fract_z
Ca1 0.000 0.000 0.000
Ca2 0.750 0.250 0.500
W1 0.250 0.750 0.500
In1 0.500 0.500 0.000
```


A plane-wave DFT calculation with GGA-PBEsol was carried out for an optimized crystal structure of In4Cu.

Summary:
Energy above the lowest structure with this stoichiometry   60 meV/atom
E_form   3.2 kcal/mol of atoms
Space group   I4/m (87)

```
data_In4Cu
_chemical_formula_sum 'In4 Cu1'
_symmetry_space_group_name_H-M 'P 1'
_symmetry_Int_Tables_number 1
_cell_length_a 5.121
_cell_length_b 5.327
_cell_length_c 5.327
_cell_angle_alpha 76.64
_cell_angle_beta 61.27
_cell_angle_gamma 61.27
loop_
_symmetry_equiv_pos_as_xyz
'x,y,z'
loop_
_atom_site_label
_atom_site_fract_x
_atom_site_fract_y
_atom_site_fract_z
Cu1 0.000 0.000 0.000
In1 0.633 0.562 0.172
In2 0.805 0.828 0.562
In3 0.367 0.438 0.828
In4 0.195 0.172 0.438
```


A plane-wave DFT calculation with GGA-PBEsol was carried out for an optimized crystal structure of PrNiC2.

Summary:
E_form   -6.5 kcal/mol of atoms
Space group   Amm2 (38)

```
data_PrNiC2
_chemical_formula_sum 'Pr1 Ni1 C2'
_symmetry_space_group_name_H-M 'P 1'
_symmetry_Int_Tables_number 1
_cell_length_a 3.767
_cell_length_b 3.767
_cell_length_c 3.845
_cell_angle_alpha 90.00
_cell_angle_beta 90.00
_cell_angle_gamma 106.45
loop_
_symmetry_equiv_pos_as_xyz
'x,y,z'
loop_
_atom_site_label
_atom_site_fract_x
_atom_site_fract_y
_atom_site_fract_z
Pr1 0.998 0.002 0.000
Ni1 0.386 0.614 0.500
C1 0.544 0.152 0.500
C2 0.848 0.456 0.500
```


A plane-wave DFT calculation with GGA-PBEsol was carried out for an optimized crystal structure of LiTe.

Summary:
Energy above the lowest structure with this stoichiometry   40 meV/atom
Space group   P4/mmm (123)

```
data_LiTe
_chemical_formula_sum 'Li2 Te2'
_symmetry_space_group_name_H-M 'P 1'
_symmetry_Int_Tables_number 1
_cell_length_a 4.085
_cell_length_b 4.719
_cell_length_c 4.719
_cell_angle_alpha 90.00
_cell_angle_beta 90.00
_cell_angle_gamma 90.00
loop_
_symmetry_equiv_pos_as_xyz
'x,y,z'
loop_
_atom_site_label
_atom_site_fract_x
_atom_site_fract_y
_atom_site_fract_z
Te1 0.000 0.500 0.500
Te2 0.000 0.000 0.000
Li1 0.500 0.500 0.000
Li2 0.500 0.000 0.500
```


A plane-wave DFT calculation with GGA-PBEsol was carried out for an optimized crystal structure of Ba2Sc2O5.

Summary:
Total energy   -8.00 eV per atom
Space group   P4/mmm (123)

```
data_Ba2Sc2O5
_chemical_formula_sum 'Ba2 Sc2 O5'
_symmetry_space_group_name_H-M 'P 1'
_symmetry_Int_Tables_number 1
_cell_length_a 4.132
_cell_length_b 4.132
_cell_length_c 8.192
_cell_angle_alpha 90.00
_cell_angle_beta 90.00
_cell_angle_gamma 90.00
loop_
_symmetry_equiv_pos_as_xyz
'x,y,z'
loop_
_atom_site_label
_atom_site_fract_x
_atom_site_fract_y
_atom_site_fract_z
Sc1 0.500 0.500 0.261
Sc2 0.500 0.500 0.739
Ba1 0.000 0.000 0.000
Ba2 0.000 0.000 0.500
O1 0.500 0.000 0.221
O2 0.500 0.000 0.779
O3 0.000 0.500 0.221
O4 0.000 0.500 0.779
O5 0.500 0.500 0.500
```


A plane-wave DFT calculation with GGA-PBEsol was carried out for an optimized crystal structure of Sr2CuRh.

Summary:
E_form   -2.8 kcal/mol of atoms
Space group   Amm2 (38)

```
data_Sr2CuRh
_chemical_formula_sum 'Sr2 Cu1 Rh1'
_symmetry_space_group_name_H-M 'P 1'
_symmetry_Int_Tables_number 1
_cell_length_a 4.378
_cell_length_b 4.320
_cell_length_c 5.858
_cell_angle_alpha 90.00
_cell_angle_beta 111.94
_cell_angle_gamma 90.00
loop_
_symmetry_equiv_pos_as_xyz
'x,y,z'
loop_
_atom_site_label
_atom_site_fract_x
_atom_site_fract_y
_atom_site_fract_z
Sr1 0.111 0.000 0.223
Sr2 0.394 0.500 0.789
Rh1 0.699 0.500 0.397
Cu1 0.806 0.000 0.612
```


A plane-wave DFT calculation with GGA-PBEsol was carried out for an optimized crystal structure of LiCdPb2.

Summary:
E_form   -2.3 kcal/mol of atoms
Space group   Pm (6)

```
data_LiCdPb2
_chemical_formula_sum 'Li1 Cd1 Pb2'
_symmetry_space_group_name_H-M 'P 1'
_symmetry_Int_Tables_number 1
_cell_length_a 3.437
_cell_length_b 4.919
_cell_length_c 6.040
_cell_angle_alpha 90.00
_cell_angle_beta 105.91
_cell_angle_gamma 90.00
loop_
_symmetry_equiv_pos_as_xyz
'x,y,z'
loop_
_atom_site_label
_atom_site_fract_x
_atom_site_fract_y
_atom_site_fract_z
Pb1 0.905 0.000 0.948
Pb2 0.592 0.500 0.292
Cd1 0.186 0.000 0.491
Li1 0.317 0.500 0.769
```


A plane-wave DFT calculation with GGA-PBEsol was carried out for an optimized crystal structure of YCd2Se.

Summary:
Total energy   -3.81 eV per atom
Space group   I-4m2 (119)

```
data_YCd2Se
_chemical_formula_sum 'Y1 Cd2 Se1'
_symmetry_space_group_name_H-M 'P 1'
_symmetry_Int_Tables_number 1
_cell_length_a 4.446
_cell_length_b 4.446
_cell_length_c 5.513
_cell_angle_alpha 113.78
_cell_angle_beta 113.78
_cell_angle_gamma 90.00
loop_
_symmetry_equiv_pos_as_xyz
'x,y,z'
loop_
_atom_site_label
_atom_site_fract_x
_atom_site_fract_y
_atom_site_fract_z
Cd1 0.000 0.000 0.000
Cd2 0.750 0.250 0.500
Se1 0.500 0.500 0.000
Y1 0.250 0.750 0.500
```


A plane-wave DFT calculation with GGA-PBEsol was carried out for an optimized crystal structure of YScCr.

Summary:
Energy above the lowest structure with this stoichiometry   782 meV/atom
E_form   25.6 kcal/mol of atoms
Space group   F-43m (216)

```
data_YScCr
_chemical_formula_sum 'Y1 Sc1 Cr1'
_symmetry_space_group_name_H-M 'P 1'
_symmetry_Int_Tables_number 1
_cell_length_a 4.731
_cell_length_b 4.731
_cell_length_c 4.731
_cell_angle_alpha 60.00
_cell_angle_beta 60.00
_cell_angle_gamma 60.00
loop_
_symmetry_equiv_pos_as_xyz
'x,y,z'
loop_
_atom_site_label
_atom_site_fract_x
_atom_site_fract_y
_atom_site_fract_z
Cr1 0.500 0.500 0.500
Sc1 0.250 0.250 0.250
Y1 0.000 0.000 0.000
```


A plane-wave DFT calculation with GGA-PBEsol was carried out for an optimized crystal structure of Bi2Pb3S6.

Summary:
Energy above the lowest structure with this stoichiometry   7 meV/atom
Space group   Cmcm (63)

```
data_Bi2Pb3S6
_chemical_formula_sum 'Bi4 Pb6 S12'
_symmetry_space_group_name_H-M 'P 1'
_symmetry_Int_Tables_number 1
_cell_length_a 4.053
_cell_length_b 6.969
_cell_length_c 20.500
_cell_angle_alpha 90.00
_cell_angle_beta 90.00
_cell_angle_gamma 106.90
loop_
_symmetry_equiv_pos_as_xyz
'x,y,z'
loop_
_atom_site_label
_atom_site_fract_x
_atom_site_fract_y
_atom_site_fract_z
Bi1 0.915 0.830 0.134
Bi2 0.085 0.170 0.866
Bi3 0.915 0.830 0.366
Bi4 0.085 0.170 0.634
Pb1 0.643 0.285 0.046
Pb2 0.357 0.715 0.954
Pb3 0.643 0.285 0.454
Pb4 0.357 0.715 0.546
Pb5 0.175 0.350 0.250
Pb6 0.825 0.650 0.750
S1 0.823 0.647 0.250
S2 0.177 0.353 0.750
S3 0.550 0.100 0.166
S4 0.450 0.900 0.834
S5 0.550 0.100 0.334
S6 0.450 0.900 0.666
S7 0.276 0.551 0.102
S8 0.724 0.449 0.898
S9 0.276 0.551 0.398
S10 0.724 0.449 0.602
S11 0.000 0.000 0.000
S12 0.000 0.000 0.500
```


A plane-wave DFT calculation with GGA-PBEsol was carried out for an optimized crystal structure of Li2ZnRe.

Summary:
E_form   3.0 kcal/mol of atoms
Space group   Cmm2 (35)

```
data_Li2ZnRe
_chemical_formula_sum 'Li2 Zn1 Re1'
_symmetry_space_group_name_H-M 'P 1'
_symmetry_Int_Tables_number 1
_cell_length_a 2.582
_cell_length_b 2.582
_cell_length_c 9.037
_cell_angle_alpha 90.00
_cell_angle_beta 90.00
_cell_angle_gamma 103.13
loop_
_symmetry_equiv_pos_as_xyz
'x,y,z'
loop_
_atom_site_label
_atom_site_fract_x
_atom_site_fract_y
_atom_site_fract_z
Li1 0.000 0.000 0.021
Li2 0.500 0.500 0.733
Re1 0.000 0.000 0.492
Zn1 0.500 0.500 0.254
```


A plane-wave DFT calculation with GGA-PBEsol was carried out for an optimized crystal structure of PbW2Br.

Summary:
Energy above the lowest structure with this stoichiometry   0 meV/atom
Space group   R-3m (166)

```
data_PbW2Br
_chemical_formula_sum 'Pb1 W2 Br1'
_symmetry_space_group_name_H-M 'P 1'
_symmetry_Int_Tables_number 1
_cell_length_a 3.043
_cell_length_b 3.043
_cell_length_c 9.215
_cell_angle_alpha 80.50
_cell_angle_beta 80.50
_cell_angle_gamma 60.00
loop_
_symmetry_equiv_pos_as_xyz
'x,y,z'
loop_
_atom_site_label
_atom_site_fract_x
_atom_site_fract_y
_atom_site_fract_z
Br1 0.500 0.500 0.500
Pb1 0.000 0.000 0.000
W1 0.246 0.246 0.262
W2 0.754 0.754 0.738
```